A relaxed Ba2PmIn2Bi4 crystal. Source: Alexandria via LeMat-Bulk, functional PBE.

Results
**Volume**: 36.3 Å³ per atom
**Final energy**: -35.0 eV per formula unit
**Crystal system**: monoclinic
**Energy relative to the elements**: -599.1 meV/atom

CIF file:
```
data_Ba2PmIn2Bi4
_chemical_formula_sum 'Ba4 Pm2 In4 Bi8'
_cell_length_a 17.5108
_cell_length_b 4.9434
_cell_length_c 8.1277
_cell_angle_alpha 90.00
_cell_angle_beta 111.57
_cell_angle_gamma 90.00
_space_group_name_H-M_alt 'C 1 2/m 1'
_space_group_IT_number 12
_space_group_name_Hall '-C 2y'
loop_
_atom_site_label
_atom_site_fract_x
_atom_site_fract_y
_atom_site_fract_z
_atom_site_occupancy
Ba1 0.1307 0.0000 0.1093 1
Pm1 0.0000 0.0000 0.5000 1
In1 0.1628 0.5000 0.4787 1
Bi1 0.0161 0.5000 0.7777 1
Bi2 0.2008 0.0000 0.7172 1
```

---

A relaxed Ba2PrIn2Bi4 crystal. Source: Alexandria via LeMat-Bulk, functional PBE.

Results
**Volume**: 36.7 Å³ per atom
**Final energy**: -35.1 eV per formula unit
**Crystal system**: monoclinic
**Energy relative to the elements**: -603.0 meV/atom

CIF file:
```
data_Ba2PrIn2Bi4
_chemical_formula_sum 'Ba4 Pr2 In4 Bi8'
_cell_length_a 17.4222
_cell_length_b 5.0308
_cell_length_c 8.0782
_cell_angle_alpha 90.00
_cell_angle_beta 111.23
_cell_angle_gamma 90.00
_space_group_name_H-M_alt 'C 1 2/m 1'
_space_group_IT_number 12
_space_group_name_Hall '-C 2y'
loop_
_atom_site_label
_atom_site_fract_x
_atom_site_fract_y
_atom_site_fract_z
_atom_site_occupancy
Ba1 0.1311 0.0000 0.1096 1
Pr1 0.0000 0.0000 0.5000 1
In1 0.1627 0.5000 0.4840 1
Bi1 0.0155 0.5000 0.7804 1
Bi2 0.2033 0.0000 0.7166 1
```

---

A relaxed Ba2InBi3Pt4 crystal. Source: Alexandria via LeMat-Bulk, functional PBE.

Results
**Volume**: 26.7 Å³ per atom
**Final energy**: -48.6 eV per formula unit
**Crystal system**: tetragonal
**Energy relative to the elements**: -623.9 meV/atom

CIF file:
```
data_Ba2InBi3Pt4
_chemical_formula_sum 'Ba2 In1 Bi3 Pt4'
_cell_length_a 4.9248
_cell_length_b 4.9248
_cell_length_c 10.9949
_cell_angle_alpha 90.00
_cell_angle_beta 90.00
_cell_angle_gamma 90.00
_space_group_name_H-M_alt 'P -4 m 2'
_space_group_IT_number 115
_space_group_name_Hall 'P -4 -2'
loop_
_atom_site_label
_atom_site_fract_x
_atom_site_fract_y
_atom_site_fract_z
_atom_site_occupancy
Ba1 0.0000 0.5000 0.2414 1
In1 0.0000 0.0000 0.5000 1
Bi1 0.0000 0.5000 0.8766 1
Bi2 0.5000 0.5000 0.5000 1
Pt1 0.0000 0.0000 0.0000 1
Pt2 0.0000 0.5000 0.6214 1
Pt3 0.5000 0.5000 0.0000 1
```

---

A relaxed Rb2BaInBi crystal. Source: Alexandria via LeMat-Bulk, functional PBE.

Results
**Volume**: 56.1 Å³ per atom
**Final energy**: -9.9 eV per formula unit
**Crystal system**: tetragonal
**Energy relative to the elements**: 105.6 meV/atom

CIF file:
```
data_Rb2BaInBi
_chemical_formula_sum 'Rb2 Ba1 In1 Bi1'
_cell_length_a 6.7531
_cell_length_b 6.7531
_cell_length_c 6.1558
_cell_angle_alpha 90.00
_cell_angle_beta 90.00
_cell_angle_gamma 90.00
_space_group_name_H-M_alt 'P 4/m m m'
_space_group_IT_number 123
_space_group_name_Hall '-P 4 2'
loop_
_atom_site_label
_atom_site_fract_x
_atom_site_fract_y
_atom_site_fract_z
_atom_site_occupancy
Rb1 0.0000 0.5000 0.0000 1
Ba1 0.0000 0.0000 0.5000 1
In1 0.5000 0.5000 0.0000 1
Bi1 0.5000 0.5000 0.5000 1
```

---

A relaxed BaInBi2Rh crystal. Source: Alexandria via LeMat-Bulk, functional PBE.

Results
**Volume**: 32.0 Å³ per atom
**Final energy**: -21.1 eV per formula unit
**Crystal system**: tetragonal
**Energy relative to the elements**: -260.2 meV/atom

CIF file:
```
data_BaInBi2Rh
_chemical_formula_sum 'Ba1 In1 Bi2 Rh1'
_cell_length_a 5.5545
_cell_length_b 5.5545
_cell_length_c 5.1901
_cell_angle_alpha 90.00
_cell_angle_beta 90.00
_cell_angle_gamma 90.00
_space_group_name_H-M_alt 'P 4/m m m'
_space_group_IT_number 123
_space_group_name_Hall '-P 4 2'
loop_
_atom_site_label
_atom_site_fract_x
_atom_site_fract_y
_atom_site_fract_z
_atom_site_occupancy
Ba1 0.0000 0.0000 0.0000 1
In1 0.5000 0.5000 0.0000 1
Bi1 0.0000 0.5000 0.5000 1
Rh1 0.5000 0.5000 0.5000 1
```

---

A relaxed BaInBi2S crystal. Source: Alexandria via LeMat-Bulk, functional PBE.

Results
**Volume**: 36.3 Å³ per atom
**Final energy**: -18.0 eV per formula unit
**Crystal system**: tetragonal
**Uncorrected formation energy**: -0.29 eV/atom

CIF file:
```
data_BaInBi2S
_chemical_formula_sum 'Ba1 In1 Bi2 S1'
_cell_length_a 5.5648
_cell_length_b 5.5648
_cell_length_c 5.8646
_cell_angle_alpha 90.00
_cell_angle_beta 90.00
_cell_angle_gamma 90.00
_space_group_name_H-M_alt 'P 4/m m m'
_space_group_IT_number 123
_space_group_name_Hall '-P 4 2'
loop_
_atom_site_label
_atom_site_fract_x
_atom_site_fract_y
_atom_site_fract_z
_atom_site_occupancy
Ba1 0.0000 0.0000 0.0000 1
In1 0.5000 0.5000 0.0000 1
Bi1 0.0000 0.5000 0.5000 1
S1 0.0000 0.0000 0.5000 1
```

---

A relaxed Ba2In2Bi2Sb crystal. Source: Alexandria via LeMat-Bulk, functional PBE.

Results
**Volume**: 37.1 Å³ per atom
**Final energy**: -24.7 eV per formula unit
**Crystal system**: monoclinic
**Uncorrected formation energy**: -0.49 eV/atom

CIF file:
```
data_Ba2In2Bi2Sb
_chemical_formula_sum 'Ba4 In4 Bi4 Sb2'
_cell_length_a 13.6103
_cell_length_b 4.4990
_cell_length_c 8.9998
_cell_angle_alpha 90.00
_cell_angle_beta 109.51
_cell_angle_gamma 90.00
_space_group_name_H-M_alt 'C 1 2/m 1'
_space_group_IT_number 12
_space_group_name_Hall '-C 2y'
loop_
_atom_site_label
_atom_site_fract_x
_atom_site_fract_y
_atom_site_fract_z
_atom_site_occupancy
Ba1 0.0103 0.0000 0.2841 1
In1 0.2254 0.5000 0.1124 1
Bi1 0.2105 0.5000 0.6066 1
Sb1 0.0000 0.5000 0.0000 1
```

---

A relaxed Ba2In2BiSb2 crystal. Source: Alexandria via LeMat-Bulk, functional PBE.

Results
**Volume**: 40.5 Å³ per atom
**Final energy**: -25.1 eV per formula unit
**Crystal system**: triclinic
**Uncorrected formation energy**: -0.52 eV/atom

CIF file:
```
data_Ba2In2BiSb2
_chemical_formula_sum 'Ba2 In2 Bi1 Sb2'
_cell_length_a 4.7351
_cell_length_b 7.3628
_cell_length_c 9.2477
_cell_angle_alpha 70.04
_cell_angle_beta 75.24
_cell_angle_gamma 71.27
_space_group_name_H-M_alt 'P -1'
_space_group_IT_number 2
_space_group_name_Hall '-P 1'
loop_
_atom_site_label
_atom_site_fract_x
_atom_site_fract_y
_atom_site_fract_z
_atom_site_occupancy
Ba1 0.0191 0.2047 0.2571 1
In1 0.2937 0.5945 0.3164 1
Bi1 0.5000 0.5000 0.0000 1
Sb1 0.3523 0.2018 0.5942 1
```

---

A relaxed BaIn2SiBi crystal. Source: Alexandria via LeMat-Bulk, functional PBE.

Results
**Volume**: 34.9 Å³ per atom
**Final energy**: -16.6 eV per formula unit
**Crystal system**: tetragonal
**Uncorrected formation energy**: 0.01 eV/atom

CIF file:
```
data_BaIn2SiBi
_chemical_formula_sum 'Ba1 In2 Si1 Bi1'
_cell_length_a 5.2849
_cell_length_b 5.2849
_cell_length_c 6.2445
_cell_angle_alpha 90.00
_cell_angle_beta 90.00
_cell_angle_gamma 90.00
_space_group_name_H-M_alt 'P 4/m m m'
_space_group_IT_number 123
_space_group_name_Hall '-P 4 2'
loop_
_atom_site_label
_atom_site_fract_x
_atom_site_fract_y
_atom_site_fract_z
_atom_site_occupancy
Ba1 0.0000 0.0000 0.0000 1
In1 0.0000 0.5000 0.5000 1
Si1 0.0000 0.0000 0.5000 1
Bi1 0.5000 0.5000 0.0000 1
```

---

A relaxed Ba2In2SnBi4 crystal. Source: Alexandria via LeMat-Bulk, functional PBE.

Results
**Volume**: 35.8 Å³ per atom
**Final energy**: -32.6 eV per formula unit
**Crystal system**: monoclinic
**Energy relative to the elements**: -416.0 meV/atom

CIF file:
```
data_Ba2In2SnBi4
_chemical_formula_sum 'Ba4 In4 Sn2 Bi8'
_cell_length_a 17.3122
_cell_length_b 5.5003
_cell_length_c 7.1871
_cell_angle_alpha 90.00
_cell_angle_beta 109.78
_cell_angle_gamma 90.00
_space_group_name_H-M_alt 'C 1 2/m 1'
_space_group_IT_number 12
_space_group_name_Hall '-C 2y'
loop_
_atom_site_label
_atom_site_fract_x
_atom_site_fract_y
_atom_site_fract_z
_atom_site_occupancy
Ba1 0.1322 0.0000 0.1261 1
In1 0.1621 0.5000 0.5132 1
Sn1 0.0000 0.0000 0.5000 1
Bi1 0.0114 0.5000 0.7805 1
Bi2 0.2046 0.0000 0.7093 1
```

---

A relaxed Ba3In2SnBi6 crystal. Source: Alexandria via LeMat-Bulk, functional PBE.

Results
**Volume**: 38.0 Å³ per atom
**Final energy**: -43.7 eV per formula unit
**Crystal system**: trigonal
**Energy relative to the elements**: -432.2 meV/atom

CIF file:
```
data_Ba3In2SnBi6
_chemical_formula_sum 'Ba3 In2 Sn1 Bi6'
_cell_length_a 7.2172
_cell_length_b 7.2172
_cell_length_c 10.0959
_cell_angle_alpha 90.00
_cell_angle_beta 90.00
_cell_angle_gamma 120.00
_space_group_name_H-M_alt 'P -3 m 1'
_space_group_IT_number 164
_space_group_name_Hall '-P 3 2"'
loop_
_atom_site_label
_atom_site_fract_x
_atom_site_fract_y
_atom_site_fract_z
_atom_site_occupancy
Ba1 0.0000 0.0000 0.0000 1
Ba2 0.3333 0.6667 0.6104 1
In1 0.3333 0.6667 0.0114 1
Sn1 0.0000 0.0000 0.5000 1
Bi1 0.1802 0.3604 0.2802 1
```

---

A relaxed BaInSn2Bi crystal. Source: Alexandria via LeMat-Bulk, functional PBE.

Results
**Volume**: 45.7 Å³ per atom
**Final energy**: -15.2 eV per formula unit
**Crystal system**: tetragonal
**Energy relative to the elements**: 273.0 meV/atom

CIF file:
```
data_BaInSn2Bi
_chemical_formula_sum 'Ba1 In1 Sn2 Bi1'
_cell_length_a 5.9088
_cell_length_b 5.9088
_cell_length_c 6.5380
_cell_angle_alpha 90.00
_cell_angle_beta 90.00
_cell_angle_gamma 90.00
_space_group_name_H-M_alt 'P 4/m m m'
_space_group_IT_number 123
_space_group_name_Hall '-P 4 2'
loop_
_atom_site_label
_atom_site_fract_x
_atom_site_fract_y
_atom_site_fract_z
_atom_site_occupancy
Ba1 0.0000 0.0000 0.0000 1
In1 0.5000 0.5000 0.0000 1
Sn1 0.0000 0.5000 0.5000 1
Bi1 0.0000 0.0000 0.5000 1
```